A plane-wave DFT calculation with GGA-PBE was carried out for an optimized crystal structure of Ho3Si2Ge.

## Properties
DFT total energy ... -133.0 eV/cell
Total moment ... 0.0 Bohr magnetons per cell
Formation energy (no corrections) ... -0.674 eV per atom

Lattice parameters (Å, degrees): 11.448 4.077 11.431 90.00 90.00 90.00
Space group Pnma (No. 62)
Asymmetric unit:
Ho (0.056, 0.250, 0.121) (multiplicity 4)
Ho (0.120, 0.750, 0.560) (multiplicity 4)
Ho (0.204, 0.250, 0.799) (multiplicity 4)
Si (0.017, 0.750, 0.308) (multiplicity 4)
Si (0.188, 0.750, 0.001) (multiplicity 4)
Ge (0.132, 0.250, 0.371) (multiplicity 4)